(1)
Computed, not measured: ErTlAs2O8 after structural relaxation at the GGA-PBE level of DFT.

The calculation puts the density of states at the Fermi level at 0.000 states/eV per atom. As for the uncorrected formation energy: -1663 meV/atom. For the final energy, the calculation gives -151.7 eV per cell.

It has space group I-4m2 (No. 119), with a = 7.166 Å, b = 7.166 Å, c = 6.338 Å, α = 90.00°, β = 90.00° and γ = 90.00°. The inequivalent atoms are Er at (0.000, 0.000, 0.000), Tl at (0.000, 0.500, 0.250), As at (0.000, 0.000, 0.500), As at (0.000, 0.500, 0.750), O at (0.000, 0.178, 0.316) and O at (0.000, 0.317, 0.927).

(2)
Computed, not measured: CdCuNi after structural relaxation at the GGA-PBE level of DFT.

The calculation puts the density of states at the Fermi level at 0.336 states/eV per atom. The calculation puts the formation enthalpy at 0 K at 0.2 eV/f.u. As for the polymorph energy (0 for the lowest one): 56 meV per atom. For the final energy, the calculation gives -21.1 eV per cell.

It has space group I4mm (No. 107), with a = 2.944 Å, b = 2.944 Å, c = 9.897 Å, α = 90.00°, β = 90.00° and γ = 90.00°. The inequivalent atoms are Cd at (0.000, 0.000, 0.000), Cu at (0.000, 0.000, 0.686) and Ni at (0.000, 0.000, 0.321).

(3)
Computed, not measured: Er8Cu2Tc after structural relaxation at the GGA-PBE level of DFT.

The calculation puts the density of states at the Fermi level at 1.100 states/eV per atom. The calculation puts the formation enthalpy at 0 K at -0.2 eV/f.u. As for the polymorph energy (0 for the lowest one): 103 meV per atom. For the final energy, the calculation gives -110.5 eV per cell.

It has space group Cm (No. 8), with a = 8.169 Å, b = 13.083 Å, c = 5.652 Å, α = 90.00°, β = 110.40° and γ = 90.00°. The inequivalent atoms are Er at (0.000, 0.000, 0.000), Er at (0.067, 0.379, 0.778), Er at (0.153, 0.122, 0.571), Er at (0.225, 0.500, 0.370), Er at (0.359, 0.210, 0.182), Cu at (0.364, 0.304, 0.687) and Tc at (0.363, 0.000, 0.289).

(4)
Computed, not measured: InFe2Br8 after structural relaxation at the GGA-PBE level of DFT.

The calculation puts the density of states at the Fermi level at 0.210 states/eV per atom. As for the uncorrected formation energy: -578 meV/atom. For the final energy, the calculation gives -78.8 eV per cell.

It has space group C2/m (No. 12), with a = 13.163 Å, b = 9.684 Å, c = 6.649 Å, α = 90.00°, β = 95.77° and γ = 90.00°. The inequivalent atoms are In at (0.000, 0.000, 0.000), Fe at (0.191, 0.000, 0.634), Br at (0.096, 0.187, 0.773), Br at (0.140, 0.500, 0.246) and Br at (0.180, 0.000, 0.273).

(5)
Computed, not measured: MnTlCl after structural relaxation at the GGA-PBE level of DFT.

The calculation puts the density of states at the Fermi level at 0.711 states/eV per atom. As for the uncorrected formation energy: -165 meV/atom. As for the polymorph energy (0 for the lowest one): 0 meV per atom. For the final energy, the calculation gives -13.9 eV per cell.

It has space group P3m1 (No. 156), with a = 3.4469 Å, b = 3.4469 Å, c = 7.5142 Å, α = 90.00°, β = 90.00° and γ = 120.00°. The inequivalent atoms are Mn at (0.0000, 0.0000, 0.0000), Tl at (0.3333, 0.6667, 0.3065) and Cl at (0.6667, 0.3333, 0.8038).

(6)
Computed, not measured: CeGe2I8 after structural relaxation at the GGA-PBE level of DFT.

As for the uncorrected formation energy: -636 meV/atom. For the final energy, the calculation gives -69.1 eV per cell.

It has space group C2/m (No. 12), with a = 15.415 Å, b = 8.669 Å, c = 8.179 Å, α = 90.00°, β = 90.58° and γ = 90.00°. The inequivalent atoms are Ce at (0.000, 0.000, 0.000), Ge at (0.136, 0.000, 0.541), I at (0.063, 0.238, 0.751), I at (0.177, 0.000, 0.160) and I at (0.203, 0.500, 0.360).